Compound: KReOs2
Source: Alexandria
Functional: GGA-PBE
Structure: relaxed

Cell and atoms, written as POSCAR:
```
KReOs2
1.0
7.448 0.000 0.000
0.000 7.448 0.000
3.724 3.724 2.972
Os K Re
4 2 2
direct
0.875 0.940 0.750 Os
0.060 0.625 0.250 Os
0.690 0.125 0.250 Os
0.375 0.310 0.750 Os
0.250 0.750 0.500 K
0.500 0.500 0.000 K
0.000 0.000 0.000 Re
0.750 0.250 0.500 Re
```

Values from the calculation:
The calculation puts the calculated formation energy at 1.5644 eV per atom. The energy above the most stable polymorph in this dataset is 863.7 meV per atom. The spin magnetization comes out at 0.0 μB/f.u. Its uncorrected energy is -0.273 Ha/atom. The symmetry is I-42d, No. 122.